Entry 1:
VASP calculation (GGA-PBE) on crystalline AcIn6Au12 at its relaxed geometry.

a b c (Å): 7.8343 7.8343 7.8343
angles (deg): 104.75 104.75 104.75
With the nearest neighbours (Å) after each atom.
Fractional positions:
Au1 0.5000 0.8875 0.1125  3 Au 2.79-2.90, 4 In 2.80-2.91
Au2 0.8867 0.6392 0.6392  4 Au 2.90-3.07, 4 In 2.90-3.05, 1 Ac 3.18
Au3 0.6392 0.6392 0.8867  4 Au 2.90-3.07, 4 In 2.90-3.05, 1 Ac 3.18
Au4 0.5000 0.1125 0.8875  3 Au 2.79-2.90, 4 In 2.80-2.91
Au5 0.1125 0.5000 0.8875  3 Au 2.79-2.90, 4 In 2.80-2.91
Au6 0.8875 0.5000 0.1125  3 Au 2.79-2.90, 4 In 2.80-2.91
Au7 0.6392 0.8867 0.6392  4 Au 2.90-3.07, 4 In 2.90-3.05, 1 Ac 3.18
Au8 0.1133 0.3608 0.3608  4 Au 2.90-3.07, 4 In 2.90-3.05, 1 Ac 3.18
Au9 0.3608 0.3608 0.1133  4 Au 2.90-3.07, 4 In 2.90-3.05, 1 Ac 3.18
Au10 0.3608 0.1133 0.3608  4 Au 2.90-3.07, 4 In 2.90-3.05, 1 Ac 3.18
Au11 0.1125 0.8875 0.5000  3 Au 2.79-2.90, 4 In 2.80-2.91
Au12 0.8875 0.1125 0.5000  3 Au 2.79-2.90, 4 In 2.80-2.91
In1 0.7096 0.7096 0.3036  8 Au 2.80-3.05
In2 0.3036 0.7096 0.7096  8 Au 2.80-3.05
In3 0.2904 0.6964 0.2904  8 Au 2.80-3.05
In4 0.2904 0.2904 0.6964  8 Au 2.80-3.05
In5 0.6964 0.2904 0.2904  8 Au 2.80-3.05
In6 0.7096 0.3036 0.7096  8 Au 2.80-3.05
Ac1 0.0000 0.0000 0.0000  6 Au 3.18

- electronic total energy (eV per atom) = -3.376
- DFT formation energy (eV per formula unit) = -4.29
- symmetry = No. 166
- Fermi-level density of states (states/eV per cell) = 4.488



Entry 2:
VASP calculation (GGA-PBE) on crystalline Ac3InAu3 at its relaxed geometry.

a b c (Å): 6.2982 9.5156 9.5156
angles (deg): 120.00 90.00 90.00
With the nearest neighbours (Å) after each atom.
Fractional positions:
In1 0.2500 0.6667 0.3333  3 Au 2.90
In2 0.7500 0.3333 0.6667  3 Au 2.90
Au1 0.2500 0.3528 0.0387  1 In 2.90, 5 Ac 3.15-3.25
Au2 0.7500 0.0387 0.6859  1 In 2.90, 5 Ac 3.15-3.25
Au3 0.2500 0.9613 0.3141  1 In 2.90, 5 Ac 3.15-3.25
Au4 0.2500 0.6859 0.6472  1 In 2.90, 5 Ac 3.15-3.25
Au5 0.7500 0.6472 0.9613  1 In 2.90, 5 Ac 3.15-3.25
Au6 0.7500 0.3141 0.3528  1 In 2.90, 5 Ac 3.15-3.25
Ac1 0.7500 0.6848 0.6405  5 Au 3.15-3.25, 1 In 3.48
Ac2 0.7500 0.3595 0.0444  5 Au 3.15-3.25, 1 In 3.48
Ac3 0.2500 0.3152 0.3595  5 Au 3.15-3.25, 1 In 3.48
Ac4 0.2500 0.0444 0.6848  5 Au 3.15-3.25, 1 In 3.48
Ac5 0.2500 0.6405 0.9556  5 Au 3.15-3.25, 1 In 3.48
Ac6 0.7500 0.9556 0.3152  5 Au 3.15-3.25, 1 In 3.48

- electronic total energy (eV per atom) = -4.144
- DFT formation energy (eV per formula unit) = -4.12
- symmetry = No. 176
- Fermi-level density of states (states/eV per cell) = 11.854



Entry 3:
VASP calculation (GGA-PBE) on crystalline AcIn2Au3 at its relaxed geometry.

a b c (Å): 6.3043 6.9891 6.9891
angles (deg): 103.92 90.00 90.00
With the nearest neighbours (Å) after each atom.
Fractional positions:
In1 0.0000 0.2096 0.7904  4 Au 2.76-2.83
In2 0.5000 0.2096 0.7904  4 Au 2.76-2.83
In3 0.5000 0.7904 0.2096  4 Au 2.76-2.83
In4 0.0000 0.7904 0.2096  4 Au 2.76-2.83
Au1 0.7500 0.4626 0.1952  2 In 2.76, 2 Au 2.80-2.94
Au2 0.7500 0.1952 0.4626  2 In 2.76, 2 Au 2.80-2.94
Au3 0.7500 0.0526 0.0526  2 Au 2.80, 4 In 2.83
Au4 0.2500 0.5374 0.8048  2 In 2.76, 2 Au 2.80-2.94
Au5 0.2500 0.9474 0.9474  2 Au 2.80, 4 In 2.83
Au6 0.2500 0.8048 0.5374  2 In 2.76, 2 Au 2.80-2.94
Ac1 0.2500 0.3203 0.3203  7 Au 3.21-3.48
Ac2 0.7500 0.6797 0.6797  7 Au 3.21-3.48

- electronic total energy (eV per atom) = -3.744
- DFT formation energy (eV per formula unit) = -3.05
- symmetry = No. 63
- Fermi-level density of states (states/eV per cell) = 5.394



Entry 4:
VASP calculation (GGA-PBE) on crystalline Ac3In3Au2 at its relaxed geometry.

a b c (Å): 4.9184 6.3068 16.7607
angles (deg): 90.00 90.00 112.95
With the nearest neighbours (Å) after each atom.
Fractional positions:
In1 0.6210 0.2419 0.4636  3 Au 2.88-3.17, 1 In 3.06
In2 0.3790 0.7581 0.5364  3 Au 2.88-3.17, 1 In 3.06
In3 0.3790 0.7581 0.9636  3 Au 2.88-3.17, 1 In 3.06
In4 0.6210 0.2419 0.0364  3 Au 2.88-3.17, 1 In 3.06
In5 0.6544 0.3088 0.7500  2 Au 2.94
In6 0.3456 0.6912 0.2500  2 Au 2.94
Ac1 0.9073 0.8147 0.3920  3 Au 3.40-3.44, 7 In 3.47-3.69
Ac2 0.6367 0.2733 0.2500  5 In 3.38-3.58, 4 Au 3.51
Ac3 0.0927 0.1853 0.8920  3 Au 3.40-3.44, 7 In 3.47-3.69
Ac4 0.9073 0.8147 0.1080  3 Au 3.40-3.44, 7 In 3.47-3.69
Ac5 0.0927 0.1853 0.6080  3 Au 3.40-3.44, 7 In 3.47-3.69
Ac6 0.3633 0.7267 0.7500  5 In 3.38-3.58, 4 Au 3.51
Au1 0.7999 0.5998 0.8932  4 In 2.88-3.17
Au2 0.2001 0.4002 0.1068  4 In 2.88-3.17
Au3 0.2001 0.4002 0.3932  4 In 2.88-3.17
Au4 0.7999 0.5998 0.6068  4 In 2.88-3.17

- electronic total energy (eV per atom) = -3.994
- DFT formation energy (eV per formula unit) = -4.86
- symmetry = No. 63
- Fermi-level density of states (states/eV per cell) = 15.308



Entry 5:
VASP calculation (GGA-PBE) on crystalline AcIn3Au3 at its relaxed geometry.

a b c (Å): 8.9199 8.9199 7.6914
angles (deg): 54.56 54.56 60.00
With the nearest neighbours (Å) after each atom.
Fractional positions:
In1 0.6157 0.1976 0.2838  4 Au 2.75-3.02
In2 0.0971 0.3843 0.7162  4 Au 2.75-3.02
In3 0.1976 0.9029 0.2838  4 Au 2.75-3.02
In4 0.3843 0.8024 0.7162  4 Au 2.75-3.02
In5 0.8024 0.0971 0.7162  4 Au 2.75-3.02
In6 0.9029 0.6157 0.2838  4 Au 2.75-3.02
Au1 0.5755 0.9210 0.2378  4 In 2.75-3.02
Au2 0.7343 0.4245 0.7622  4 In 2.75-3.02
Au3 0.4245 0.0790 0.7622  4 In 2.75-3.02
Au4 0.0790 0.7343 0.7622  4 In 2.75-3.02
Au5 0.2657 0.5755 0.2378  4 In 2.75-3.02
Au6 0.9210 0.2657 0.2378  4 In 2.75-3.02
Ac1 0.3332 0.3332 0.0003  6 Au 3.22, 6 In 3.56-3.58
Ac2 0.6668 0.6668 0.9997  6 Au 3.22, 6 In 3.56-3.58

- electronic total energy (eV per atom) = -3.542
- DFT formation energy (eV per formula unit) = -2.64
- symmetry = No. 148
- Fermi-level density of states (states/eV per cell) = 5.972



Entry 6:
VASP calculation (GGA-PBE) on crystalline AcIn3Au3 at its relaxed geometry.

a b c (Å): 7.5228 7.5228 7.5228
angles (deg): 90.00 90.00 90.00
With the nearest neighbours (Å) after each atom.
Fractional positions:
Au1 0.5000 0.0000 0.2500  4 In 2.66
Au2 0.2500 0.5000 0.0000  4 In 2.66
Au3 0.0000 0.2500 0.5000  4 In 2.66
Au4 0.5000 0.0000 0.7500  4 In 2.66
Au5 0.0000 0.7500 0.5000  4 In 2.66
Au6 0.7500 0.5000 0.0000  4 In 2.66
In1 0.0000 0.5000 0.2500  4 Au 2.66
In2 0.5000 0.2500 0.0000  4 Au 2.66
In3 0.2500 0.0000 0.5000  4 Au 2.66
In4 0.5000 0.7500 0.0000  4 Au 2.66
In5 0.7500 0.0000 0.5000  4 Au 2.66
In6 0.0000 0.5000 0.7500  4 Au 2.66
Ac1 0.0000 0.0000 0.0000  12 In 4.21, 12 Au 4.21
Ac2 0.5000 0.5000 0.5000  12 Au 4.21, 12 In 4.21

- electronic total energy (eV per atom) = -3.273
- DFT formation energy (eV per formula unit) = -0.75
- symmetry = No. 223
- Fermi-level density of states (states/eV per cell) = 9.999



Entry 7:
VASP calculation (GGA-PBE) on crystalline Ac4In3Au at its relaxed geometry.

a b c (Å): 3.9172 3.9172 17.3869
angles (deg): 90.00 90.00 90.00
With the nearest neighbours (Å) after each atom.
Fractional positions:
Ac1 0.0000 0.0000 0.1109  4 Au 3.37, 4 In 3.57
Ac2 0.0000 0.0000 0.8891  4 Au 3.37, 4 In 3.57
Ac3 0.0000 0.0000 0.3699  8 In 3.57-3.58, 4 Ac 3.92
Ac4 0.0000 0.0000 0.6301  8 In 3.57-3.58, 4 Ac 3.92
In1 0.5000 0.5000 0.5000  8 Ac 3.58, 4 In 3.92
In2 0.5000 0.5000 0.2405  8 Ac 3.57, 4 In 3.92
In3 0.5000 0.5000 0.7595  8 Ac 3.57, 4 In 3.92
Au1 0.5000 0.5000 0.0000  8 Ac 3.37

- electronic total energy (eV per atom) = -3.995
- DFT formation energy (eV per formula unit) = -4.03
- symmetry = No. 123
- Fermi-level density of states (states/eV per cell) = 7.960



Entry 8:
VASP calculation (GGA-PBE) on crystalline Ac3In2Au at its relaxed geometry.

a b c (Å): 6.8947 7.2000 8.9407
angles (deg): 101.62 112.68 90.00
With the nearest neighbours (Å) after each atom.
Fractional positions:
Ac1 0.2657 0.0861 0.3149  1 Au 3.08, 2 In 3.40
Ac2 0.9508 0.4139 0.6851  1 Au 3.08, 2 In 3.40
Ac3 0.6088 0.2500 0.0000  2 Au 3.29-3.61, 4 In 3.47-3.54
Ac4 0.3912 0.7500 0.0000  2 Au 3.29-3.61, 4 In 3.47-3.54
Ac5 0.7343 0.9139 0.6851  1 Au 3.08, 2 In 3.40
Ac6 0.0492 0.5861 0.3149  1 Au 3.08, 2 In 3.40
In1 0.5539 0.5481 0.3452  1 In 3.33, 6 Ac 3.40-3.54, 1 Au 3.61
In2 0.7912 0.0481 0.3452  1 In 3.33, 6 Ac 3.40-3.54, 1 Au 3.61
In3 0.2088 0.9519 0.6548  1 In 3.33, 6 Ac 3.40-3.54, 1 Au 3.61
In4 0.4461 0.4519 0.6548  1 In 3.33, 6 Ac 3.40-3.54, 1 Au 3.61
Au1 0.8680 0.7500 0.0000  3 Ac 3.08-3.29
Au2 0.1320 0.2500 0.0000  3 Ac 3.08-3.29

- electronic total energy (eV per atom) = -3.957
- DFT formation energy (eV per formula unit) = -2.66
- symmetry = No. 15
- Fermi-level density of states (states/eV per cell) = 8.896